AcNdDy14: relaxed, GGA-PBE.

Computed properties:
Fermi-level density of states = 53.50 states/eV per cell
energy of formation = 0.38 eV/f.u.
magnetic moment = 0.00 μB/f.u.
E_tot = -145.8 eV per cell

Cell and atoms, written as CIF:
```
data_AcNdDy14
_cell_length_a 11.4052
_cell_length_b 7.3063
_cell_length_c 12.6172
_cell_angle_alpha 90.00
_cell_angle_beta 90.00
_cell_angle_gamma 90.00
_space_group_name_H-M_alt 'A m m 2'
_space_group_IT_number 38
loop_
_space_group_symop_operation_xyz
'x,y,z'
'-x,-y,z'
'-x,y,z'
'x,-y,z'
'x,y+1/2,z+1/2'
'-x,-y+1/2,z+1/2'
'-x,y+1/2,z+1/2'
'x,-y+1/2,z+1/2'
loop_
_atom_site_label
_atom_site_type_symbol
_atom_site_fract_x
_atom_site_fract_y
_atom_site_fract_z
Ac1 Ac 0.0000 0.0000 0.0000
Nd1 Nd 0.0000 0.0000 0.5001
Dy1 Dy 0.0000 0.2487 0.2521
Dy2 Dy 0.2514 0.0000 0.6688
Dy3 Dy 0.2546 0.0000 0.1698
Dy4 Dy 0.2563 0.2485 0.4176
Dy5 Dy 0.5000 0.0000 0.0016
Dy6 Dy 0.5000 0.0000 0.5015
Dy7 Dy 0.5000 0.2502 0.2512
```

Ac2Nd8Dy: relaxed, GGA-PBE.

Computed properties:
Fermi-level density of states = 30.86 states/eV per cell
offset from the most stable computed form = 0.0 meV per atom
energy of formation = 1.75 eV/f.u.
magnetic moment = 0.00 μB/f.u.
E_tot = -98.4 eV per cell

Cell and atoms, written as CIF:
```
data_Ac2Nd8Dy
_cell_length_a 13.7972
_cell_length_b 7.0341
_cell_length_c 8.6490
_cell_angle_alpha 90.00
_cell_angle_beta 103.33
_cell_angle_gamma 90.00
_space_group_name_H-M_alt 'C 1 2/m 1'
_space_group_IT_number 12
loop_
_space_group_symop_operation_xyz
'x,y,z'
'-x,-y,-z'
'-x,y,-z'
'x,-y,z'
'x+1/2,y+1/2,z'
'-x+1/2,-y+1/2,-z'
'-x+1/2,y+1/2,-z'
'x+1/2,-y+1/2,z'
loop_
_atom_site_label
_atom_site_type_symbol
_atom_site_fract_x
_atom_site_fract_y
_atom_site_fract_z
Ac1 Ac 0.1703 0.0000 0.2157
Nd1 Nd 0.0630 0.2696 0.8435
Nd2 Nd 0.1171 0.5000 0.4835
Nd3 Nd 0.2310 0.5000 0.1811
Dy1 Dy 0.0000 0.0000 0.5000
```

AcNd10Dy4: relaxed, GGA-PBE.

Computed properties:
Fermi-level density of states = 52.57 states/eV per cell
energy of formation = 7.12 eV/f.u.
magnetic moment = 0.00 μB/f.u.
E_tot = -126.2 eV per cell

Cell and atoms, written as CIF:
```
data_AcNd10Dy4
_cell_length_a 12.8107
_cell_length_b 12.8107
_cell_length_c 6.9615
_cell_angle_alpha 90.00
_cell_angle_beta 90.00
_cell_angle_gamma 90.00
_space_group_name_H-M_alt 'I 4/m'
_space_group_IT_number 87
_space_group_name_Hall '-I 4'
loop_
_atom_site_label
_atom_site_type_symbol
_atom_site_fract_x
_atom_site_fract_y
_atom_site_fract_z
Ac1 Ac 0.0000 0.0000 0.0000
Nd1 Nd 0.0000 0.5000 0.2500
Nd2 Nd 0.1289 0.7097 0.2474
Dy1 Dy 0.0675 0.1785 0.5000
```

Ac2Nd5Dy: relaxed, GGA-PBE.

Computed properties:
Fermi-level density of states = 27.81 states/eV per cell
offset from the most stable computed form = 3.6 meV per atom
energy of formation = 0.25 eV/f.u.
magnetic moment = 0.00 μB/f.u.
E_tot = -72.8 eV per cell

Cell and atoms, written as CIF:
```
data_Ac2Nd5Dy
_cell_length_a 5.3127
_cell_length_b 5.3127
_cell_length_c 20.9907
_cell_angle_alpha 90.00
_cell_angle_beta 90.00
_cell_angle_gamma 90.00
_space_group_name_H-M_alt 'I 4/m m m'
_space_group_IT_number 139
_space_group_name_Hall '-I 4 2'
loop_
_atom_site_label
_atom_site_type_symbol
_atom_site_fract_x
_atom_site_fract_y
_atom_site_fract_z
Ac1 Ac 0.0000 0.0000 0.2501
Nd1 Nd 0.0000 0.0000 0.0000
Nd2 Nd 0.0000 0.5000 0.1190
Dy1 Dy 0.0000 0.0000 0.5000
```